Entry from Alexandria via LeMat-Bulk: a relaxed structure of Ag5Au6 (PBE).

Computed properties:
The volume is 205.17 Å³/cell. The formation energy comes out at 0.022 eV per atom. The calculation puts the density of states at the Fermi level at 3.247 states/eV/f.u.

```
Ag5Au6
1.0
4.1577 -5.5791 0.0000
4.1577 5.5791 0.0000
-2.0849 0.0000 4.4224
Ag Au
5 6
direct
0.0000 0.0000 0.0000
0.1372 0.8628 0.5000
0.2753 0.7247 0.0000
0.7247 0.2753 0.0000
0.8628 0.1372 0.5000
0.1753 0.4491 0.3825
0.3101 0.3101 0.8856
0.4491 0.1753 0.3825
0.5509 0.8247 0.6175
0.6899 0.6899 0.1144
0.8247 0.5509 0.6175
```